Entry 1:
An optimized crystal structure of EuDyMgAg. Source: Alexandria via LeMat-Bulk, functional PBE.

Energy, eV/atom: -4.955
Calculated volume, Å³ per cell: 109.5

POSCAR file:
```
EuDyMgAg
1.0
-0.9768 1.6417 5.0181
0.4185 -3.4587 4.0856
4.0392 0.4638 3.5071
Eu Mg Ag Dy
1 1 1 1
direct
0.0000 0.0000 0.0000
0.7500 0.7500 0.7500
0.2500 0.2500 0.2500
0.5000 0.5000 0.5000
```

Entry 2:
An optimized crystal structure of PmY2Er12. Source: Alexandria via LeMat-Bulk, functional PBE.

Energy, eV/atom: -4.759
Calculated volume, Å³ per cell: 942.9

POSCAR file:
```
PmY2Er12
1.0
-1.5425 5.6718 -3.1812
-2.4320 -0.4974 6.2054
18.3111 11.2412 9.1233
Pm Y Er
2 4 24
direct
0.5000 0.0000 0.0000
0.0000 0.5000 0.0000
0.4299 0.9299 0.2859
0.9300 0.4300 0.2859
0.0701 0.5701 0.7141
0.5700 0.0700 0.7141
0.2974 0.2974 0.8060
0.7974 0.7974 0.8060
0.5181 0.5180 0.9320
0.2848 0.7848 0.8514
0.9203 0.9204 0.3231
0.2152 0.7152 0.1486
0.8559 0.3559 0.5741
0.4204 0.4203 0.3231
0.0180 0.0181 0.9320
0.9819 0.9820 0.0680
0.3603 0.3604 0.5570
0.6441 0.1441 0.4259
0.0796 0.0797 0.6769
0.1397 0.1396 0.4430
0.4820 0.4819 0.0680
0.6396 0.6397 0.4430
0.8604 0.8603 0.5570
0.2026 0.2026 0.1940
0.3560 0.8560 0.5741
0.5797 0.5796 0.6769
0.7848 0.2848 0.8514
0.7026 0.7026 0.1940
0.1440 0.6440 0.4259
0.7152 0.2152 0.1486
```

Entry 3:
An optimized crystal structure of AlFeTcP2. Source: Alexandria via LeMat-Bulk, functional PBE.

Energy, eV/atom: -5.416
Calculated volume, Å³ per cell: 87.4

POSCAR file:
```
AlFeTcP2
1.0
-2.8804 -1.6409 3.0458
1.1534 -4.0157 -1.0726
3.2436 0.0982 3.1203
P Al Tc Fe
2 1 1 1
direct
0.0000 0.0000 0.5000
0.5000 0.0000 0.0000
0.0000 0.0000 0.0000
0.5000 0.5000 0.5000
0.0000 0.5000 0.0000
```

Entry 4:
An optimized crystal structure of Dy4CdGa2. Source: Alexandria via LeMat-Bulk, functional PBE.

Energy, eV/atom: -3.855
Calculated volume, Å³ per cell: 194.2

POSCAR file:
```
Dy4CdGa2
1.0
-3.2176 2.9266 -2.5029
-3.4031 -2.0570 -3.0610
-7.9657 -0.2538 4.9130
Dy Cd Ga
4 1 2
direct
0.3815 0.3815 0.8554
0.2069 0.2069 0.3794
0.7931 0.7931 0.6206
0.6185 0.6185 0.1446
0.0000 0.0000 0.0000
0.0982 0.0982 0.7053
0.9018 0.9018 0.2947
```

Entry 5:
An optimized crystal structure of TcWAu2. Source: Alexandria via LeMat-Bulk, functional PBE.

Energy, eV/atom: -7.213
Calculated volume, Å³ per cell: 67.6

POSCAR file:
```
TcWAu2
1.0
2.7753 -0.0226 0.0000
-0.9889 2.5932 0.0000
0.0000 0.0000 9.4289
Au Tc W
2 1 1
direct
0.0000 0.0000 0.9909
0.5000 0.5000 0.2582
0.0000 0.0000 0.5164
0.5000 0.5000 0.7345
```

Entry 6:
An optimized crystal structure of BaSb2Rh4. Source: Alexandria via LeMat-Bulk, functional PBE.

Energy, eV/atom: -6.090
Formation energy without anion corrections, kJ/mol of atoms: -42.1
Calculated volume, Å³ per cell: 282.0

POSCAR file:
```
BaSb2Rh4
1.0
4.0722 0.0000 0.0000
0.0000 8.3218 0.0000
0.0000 0.0000 8.3218
Ba Sb Rh
2 4 8
direct
0.5000 0.0000 0.0000
0.0000 0.5000 0.5000
0.0000 0.2280 0.7720
0.0000 0.7720 0.2280
0.5000 0.7280 0.7280
0.5000 0.2720 0.2720
0.0000 0.0771 0.3511
0.0000 0.9229 0.6489
0.5000 0.1489 0.5771
0.5000 0.8511 0.4229
0.5000 0.4229 0.8511
0.5000 0.5771 0.1489
0.0000 0.3511 0.0771
0.0000 0.6489 0.9229
```

> Among the records above, which one has the lowest energy?

TcWAu2